Version one
Computed, not measured: crystalline MnSn2I at its relaxed geometry at the GGA-PBE level of DFT.

Output
The total magnetization comes out at 4.4 μB/f.u.

Lattice parameters (Å, degrees): 7.8083 7.8083 7.8083 90.00 90.00 90.00
Space group Fm-3m (No. 225)
One atom of each set of equivalent atoms:
Mn (0.0000, 0.0000, 0.0000)
Sn (0.2500, 0.2500, 0.2500)
I (0.0000, 0.0000, 0.5000)

Version two
Computed, not measured: crystalline MnSn2I at its relaxed geometry at the GGA-PBE level of DFT.

Output
The total magnetization comes out at 3.0 μB/f.u.

Lattice parameters (Å, degrees): 6.1752 6.1752 15.3361 90.00 90.00 90.00
Space group I-42d (No. 122)
One atom of each set of equivalent atoms:
Mn (0.0000, 0.0000, 0.0000)
Sn (0.1350, 0.2500, 0.1250)
I (0.0000, 0.0000, 0.5000)

Result of the stability comparison: version two is the most stable of them.

Version one
Computed, not measured: crystalline MnSnI2 at its relaxed geometry at the GGA-PBE level of DFT.

Output
The total magnetization comes out at 4.3 μB/f.u.

Lattice parameters (Å, degrees): 7.7558 7.7558 7.7558 90.00 90.00 90.00
Space group Fm-3m (No. 225)
One atom of each set of equivalent atoms:
Mn (0.0000, 0.0000, 0.0000)
Sn (0.0000, 0.0000, 0.5000)
I (0.2500, 0.2500, 0.2500)

Version two
Computed, not measured: crystalline MnSnI2 at its relaxed geometry at the GGA-PBE level of DFT.

Output
The total magnetization comes out at 4.5 μB/f.u.

Lattice parameters (Å, degrees): 3.9353 3.9353 29.9585 90.00 90.00 120.00
Space group R-3m (No. 166, hexagonal axes)
One atom of each set of equivalent atoms:
Mn (0.0000, 0.0000, 0.0000)
Sn (0.0000, 0.0000, 0.5000)
I (0.0000, 0.0000, 0.3914)

Result of the stability comparison: version two is the most stable of them.

Version one
Computed, not measured: crystalline Mn2Sn2I at its relaxed geometry at the GGA-PBE level of DFT.

Output
The total magnetization comes out at 7.3 μB/f.u.

Lattice parameters (Å, degrees): 4.2247 4.2247 13.4521 90.00 90.00 90.00
Space group I4/mmm (No. 139)
One atom of each set of equivalent atoms:
Mn (0.0000, 0.0000, 0.1029)
Sn (0.0000, 0.5000, 0.2500)
I (0.0000, 0.0000, 0.5000)

Version two
Computed, not measured: crystalline Mn2Sn2I at its relaxed geometry at the GGA-PBE level of DFT.

Output
The total magnetization comes out at 0.2 μB/f.u.

Lattice parameters (Å, degrees): 7.5579 7.5579 3.3086 90.00 90.00 90.00
Space group P4/mbm (No. 127)
One atom of each set of equivalent atoms:
Mn (0.1489, 0.3511, 0.0000)
Sn (0.1433, 0.6433, 0.5000)
I (0.0000, 0.0000, 0.0000)

Result of the stability comparison: version one is the most stable of them.

Version one
Computed, not measured: crystalline Mn2SnI6 at its relaxed geometry at the GGA-PBE level of DFT.

Output
The total magnetization comes out at 10.0 μB/f.u.

Lattice parameters (Å, degrees): 14.8651 13.5881 7.8197 90.00 101.60 90.00
Space group C2/c (No. 15)
One atom of each set of equivalent atoms:
Mn (0.1926, 0.0809, 0.3194)
Sn (0.0000, 0.3886, 0.2500)
I (0.1214, 0.4118, 0.6394)
I (0.1271, 0.2398, 0.1258)
I (0.1315, 0.0802, 0.6232)

Version two
Computed, not measured: crystalline Mn2SnI6 at its relaxed geometry at the GGA-PBE level of DFT.

Output
The total magnetization comes out at 10.0 μB/f.u.

Lattice parameters (Å, degrees): 15.0331 4.7627 10.6844 90.00 107.15 90.00
Space group C2/m (No. 12)
One atom of each set of equivalent atoms:
Mn (0.2125, 0.0000, 0.1477)
Sn (0.0000, 0.0000, 0.5000)
I (0.0617, 0.0000, 0.2448)
I (0.1501, 0.5000, 0.0053)
I (0.1524, 0.5000, 0.6106)

Result of the stability comparison: version one is the most stable of them.

Version one
Computed, not measured: crystalline SrMnI3 at its relaxed geometry at the GGA-PBE level of DFT.

Output
The total magnetization comes out at 4.5 μB/f.u.

Lattice parameters (Å, degrees): 5.6609 5.6609 5.6609 90.00 90.00 90.00
Space group Pm-3m (No. 221)
One atom of each set of equivalent atoms:
Sr (0.0000, 0.0000, 0.0000)
Mn (0.5000, 0.5000, 0.5000)
I (0.0000, 0.5000, 0.5000)

Version two
Computed, not measured: crystalline SrMnI3 at its relaxed geometry at the GGA-PBE level of DFT.

Output
The total magnetization comes out at 6.0 μB/f.u.

Lattice parameters (Å, degrees): 6.3807 6.3807 6.3807 90.00 90.00 90.00
Space group Pm-3m (No. 221)
One atom of each set of equivalent atoms:
Sr (0.0000, 0.0000, 0.0000)
Mn (0.5000, 0.5000, 0.5000)
I (0.0000, 0.0000, 0.5000)

Result of the stability comparison: version one is the most stable of them.

Version one
Computed, not measured: crystalline SrMnI2 at its relaxed geometry at the GGA-PBE level of DFT.

Output
The total magnetization comes out at 4.6 μB/f.u.

Lattice parameters (Å, degrees): 4.2277 4.2277 30.4603 90.00 90.00 120.00
Space group R-3m (No. 166, hexagonal axes)
One atom of each set of equivalent atoms:
Sr (0.0000, 0.0000, 0.0000)
Mn (0.0000, 0.0000, 0.5000)
I (0.0000, 0.0000, 0.1135)

Version two
Computed, not measured: crystalline SrMnI2 at its relaxed geometry at the GGA-PBE level of DFT.

Output
The total magnetization comes out at 3.1 μB/f.u.

Lattice parameters (Å, degrees): 6.7226 6.7226 14.1068 90.00 90.00 90.00
Space group I-42d (No. 122)
One atom of each set of equivalent atoms:
Sr (0.0000, 0.0000, 0.0000)
Mn (0.0000, 0.0000, 0.5000)
I (0.1757, 0.2500, 0.6250)

Result of the stability comparison: version one is the most stable of them.

Version one
Computed, not measured: crystalline Ta3MnI at its relaxed geometry at the GGA-PBE level of DFT.

Output
The total magnetization comes out at 0.0 μB/f.u.

Lattice parameters (Å, degrees): 4.6989 4.6989 4.6989 90.00 90.00 90.00
Space group Pm-3m (No. 221)
One atom of each set of equivalent atoms:
Ta (0.0000, 0.0000, 0.5000)
Mn (0.0000, 0.0000, 0.0000)
I (0.5000, 0.5000, 0.5000)

Version two
Computed, not measured: crystalline Ta3MnI at its relaxed geometry at the GGA-PBE level of DFT.

Output
The total magnetization comes out at 3.0 μB/f.u.

Lattice parameters (Å, degrees): 4.9806 4.9806 4.9806 90.00 90.00 90.00
Space group Pm-3m (No. 221)
One atom of each set of equivalent atoms:
Ta (0.0000, 0.0000, 0.5000)
Mn (0.5000, 0.5000, 0.5000)
I (0.0000, 0.0000, 0.0000)

Result of the stability comparison: version one is the most stable of them.

Version one
Computed, not measured: crystalline Ta2MnI at its relaxed geometry at the GGA-PBE level of DFT.

Output
The total magnetization comes out at 1.7 μB/f.u.

Lattice parameters (Å, degrees): 6.5902 6.5902 6.5902 90.00 90.00 90.00
Space group Fm-3m (No. 225)
One atom of each set of equivalent atoms:
Ta (0.2500, 0.2500, 0.2500)
Mn (0.0000, 0.0000, 0.0000)
I (0.0000, 0.0000, 0.5000)

Version two
Computed, not measured: crystalline Ta2MnI at its relaxed geometry at the GGA-PBE level of DFT.

Output
The total magnetization comes out at 0.0 μB/f.u.

Lattice parameters (Å, degrees): 5.5415 5.5415 13.0257 90.00 90.00 90.00
Space group I-42d (No. 122)
One atom of each set of equivalent atoms:
Ta (0.1560, 0.2500, 0.1250)
Mn (0.0000, 0.0000, 0.0000)
I (0.0000, 0.0000, 0.5000)

Result of the stability comparison: version one is the most stable of them.